A plane-wave DFT calculation with PBE with a Hubbard U was carried out for crystalline La3Ni5O12 at its relaxed geometry.

Computed properties:
crystal system: cubic
DOS(E_F): 0.51 states/eV/atom
total energy: -6.04 eV/atom

Unit cell a=12.7308 b=12.7308 c=12.7308 alpha=90.00 beta=90.00 gamma=90.00
Space group Ia-3d (No. 230)
Symmetry-distinct sites (fractional):
La (0.0000, 0.2500, 0.1250) x24
Ni (0.0000, 0.0000, 0.0000) x16
Ni (0.0000, 0.2500, 0.3750) x24
O (0.0305, 0.0512, 0.6510) x96